The following is a DFT calculation (PBE-GGA) of an optimized crystal structure of SrUBr5.

* SG: C2/c, No. 15
* uncorrected energy: -4.608 eV per atom
* uncorrected formation energy: -10.9 eV per formula unit
* N(E_F): 0.348 states/eV/f.u.
* total moment: 3.00 μB per formula unit

Cell: 7.6349 7.6349 11.4783 Å, 105.41 110.61 94.09°
Last column: nearest neighbours and their distance in Å.
Fractional positions:
Sr  0.6651  0.9151  0.2500  5 Br 3.01-3.21
Sr  0.3349  0.0849  0.7500  5 Br 3.01-3.21
U  0.0000  0.0000  0.0000  6 Br 2.86-3.01
U  0.0000  0.5000  0.5000  6 Br 2.86-3.01
Br  0.2399  0.7934  0.1428  1 U 2.86, 1 Sr 3.01
Br  0.2061  0.8131  0.4764  1 U 2.89, 1 Sr 3.03
Br  0.3494  0.4029  0.6428  1 U 2.86, 1 Sr 3.01
Br  0.9738  0.2238  0.2500  2 U 3.01, 1 Sr 3.21
Br  0.3366  0.2297  0.0236  1 U 2.89, 1 Sr 3.03
Br  0.6634  0.7703  0.9764  1 U 2.89, 1 Sr 3.03
Br  0.0262  0.7762  0.7500  2 U 3.01, 1 Sr 3.21
Br  0.6506  0.5971  0.3572  1 U 2.86, 1 Sr 3.01
Br  0.7939  0.1869  0.5236  1 U 2.89, 1 Sr 3.03
Br  0.7601  0.2066  0.8572  1 U 2.86, 1 Sr 3.01